# CaTmMg

CaTmMg after structural relaxation (PBE-GGA, Alexandria).

Energy above the most stable polymorph in this dataset, meV per atom: 130

```
data_CaTmMg
_chemical_formula_sum 'Ca1 Tm1 Mg1'
_symmetry_space_group_name_H-M 'P 3 m 1'
_symmetry_Int_Tables_number 156
_cell_length_a 5.6027
_cell_length_b 5.6027
_cell_length_c 3.3736
_cell_angle_alpha 90.00
_cell_angle_beta 90.00
_cell_angle_gamma 120.00
loop_
_symmetry_equiv_pos_as_xyz
'x,y,z'
'-y,x-y,z'
'-x+y,-x,z'
'-y,-x,z'
'-x+y,y,z'
'x,x-y,z'
loop_
_atom_site_label
_atom_site_type_symbol
_atom_site_fract_x
_atom_site_fract_y
_atom_site_fract_z
Ca1 Ca 0.0000 0.0000 0.0000
Tm1 Tm 0.3333 0.6667 0.3837
Mg1 Mg 0.6667 0.3333 0.7408
```

---

# CaTmMg2

CaTmMg2 after structural relaxation (PBE-GGA, Alexandria).

Total energy, eV/atom: -2.3446

```
data_CaTmMg2
_chemical_formula_sum 'Ca3 Tm3 Mg6'
_symmetry_space_group_name_H-M 'R 3 m'
_symmetry_Int_Tables_number 160
_symmetry_space_group_name_Hall 'R 3 -2"'
_cell_length_a 3.5451
_cell_length_b 3.5451
_cell_length_c 32.8687
_cell_angle_alpha 90.00
_cell_angle_beta 90.00
_cell_angle_gamma 120.00
loop_
_atom_site_label
_atom_site_type_symbol
_atom_site_fract_x
_atom_site_fract_y
_atom_site_fract_z
Ca1 Ca 0.0000 0.0000 0.0000
Tm1 Tm 0.0000 0.0000 0.8320
Mg1 Mg 0.0000 0.0000 0.4186
Mg2 Mg 0.0000 0.0000 0.5797
```

---

# CaTm5Mg6

CaTm5Mg6 after structural relaxation (PBE-GGA, Alexandria).

Total energy, eV/atom: -2.8778

```
data_CaTm5Mg6
_chemical_formula_sum 'Ca2 Tm10 Mg12'
_symmetry_space_group_name_H-M 'C m m m'
_symmetry_Int_Tables_number 65
_symmetry_space_group_name_Hall '-C 2 2'
_cell_length_a 5.375
_cell_length_b 16.150
_cell_length_c 7.505
_cell_angle_alpha 90.00
_cell_angle_beta 90.00
_cell_angle_gamma 90.00
loop_
_atom_site_label
_atom_site_type_symbol
_atom_site_fract_x
_atom_site_fract_y
_atom_site_fract_z
Ca1 Ca 0.000 0.000 0.000
Tm1 Tm 0.000 0.000 0.500
Tm2 Tm 0.000 0.330 0.000
Tm3 Tm 0.000 0.335 0.500
Mg1 Mg 0.000 0.168 0.254
Mg2 Mg 0.000 0.500 0.254
```

---

no.,density (g cm⁻³)
1,4.22
2,3.59
3,5.25